# MnVW (GGA-PBE, optimized geometry)
# **Formation enthalpy at 0 K**: -63 meV/atom
# **Energy above the most stable polymorph in this dataset**: 0.0 meV/atom
# **Calculated total energy**: -10.477 eV per atom
# **M_tot**: 0.00 μB per cell
data_MnVW
_chemical_formula_sum 'Mn2 V2 W2'
_cell_length_a 2.9943
_cell_length_b 2.9943
_cell_length_c 8.9964
_cell_angle_alpha 90.00
_cell_angle_beta 90.00
_cell_angle_gamma 90.00
_symmetry_space_group_name_H-M 'I 4 m m'
_symmetry_Int_Tables_number 107
_symmetry_space_group_name_Hall 'I 4 -2'
loop_
_atom_site_label
_atom_site_type_symbol
_atom_site_fract_x
_atom_site_fract_y
_atom_site_fract_z
Mn1 Mn 0.0000 0.0000 0.0000
V1 V 0.0000 0.0000 0.6580
W1 W 0.0000 0.0000 0.3329